No. 1
Entry from the Alexandria database: a geometry-optimized CaIr2Pt structure (PBE-GGA).

Geometry as POSCAR:
```
CaIr2Pt
1.0
2.8621 0.0000 0.0000
0.0000 2.8621 0.0000
0.0000 0.0000 8.3187
Ca Ir Pt
1 2 1
Cartesian
0.0000 0.0000 0.0000
1.4311 1.4311 2.3137
1.4311 1.4311 6.0050
0.0000 0.0000 4.1594
```

Output
- space-group type = P4/mmm (123)
- energy relative to the elements (eV per atom) = 0.058
- ΔE to the lowest computed polymorph (kJ per mole of atoms) = 17.9

***

No. 2
Entry from the Alexandria database: a geometry-optimized ZrAgBi2Pb structure (PBE-GGA).

Geometry as POSCAR:
```
ZrAgBi2Pb
1.0
5.6443 0.0000 0.0000
0.0000 5.6443 0.0000
0.0000 0.0000 5.7074
Zr Ag Bi Pb
1 1 2 1
Cartesian
0.0000 0.0000 0.0000
2.8221 2.8221 2.8537
0.0000 2.8221 0.0000
2.8221 0.0000 0.0000
0.0000 0.0000 2.8537
```

Output
- space-group type = P4/mmm (123)
- energy relative to the elements (eV per atom) = 0.449

***

No. 3
Entry from the Alexandria database: a geometry-optimized TiCd2P2 structure (PBE-GGA).

Geometry as POSCAR:
```
TiCd2P2
1.0
6.7321 0.0000 0.0000
0.0000 6.7321 0.0000
0.0000 0.0000 4.0899
Ti Cd P
2 4 4
Cartesian
0.0000 0.0000 0.0000
3.3660 3.3660 0.0000
1.0769 2.2892 2.0450
2.2892 5.6552 2.0450
4.4429 1.0769 2.0450
5.6552 4.4429 2.0450
1.0827 4.4487 0.0000
2.2833 1.0827 0.0000
4.4487 5.6494 0.0000
5.6494 2.2833 0.0000
```

Output
- space-group type = P4/mbm (127)
- energy relative to the elements (eV per atom) = -0.105

***

No. 4
Entry from the Alexandria database: a geometry-optimized Dy6ZnCu5 structure (PBE-GGA).

Geometry as POSCAR:
```
Dy6ZnCu5
1.0
4.9345 0.0000 0.0000
0.0000 6.9550 0.0000
-2.4716 0.0000 7.3943
Dy Zn Cu
6 1 5
Cartesian
0.0000 1.7037 0.0000
0.0000 5.2513 0.0000
0.0011 1.7260 4.9001
0.0011 5.2291 4.9001
2.4617 1.7260 2.4943
2.4617 5.2291 2.4943
2.4672 3.4775 0.0000
-0.0148 3.4775 2.4084
-0.0123 0.0000 2.4529
2.4672 0.0000 0.0000
2.4752 0.0000 4.9414
2.4777 3.4775 4.9859
```

Output
- space-group type = P2/m (10)
- energy relative to the elements (eV per atom) = -0.268

***

No. 5
Entry from the Alexandria database: a geometry-optimized La3YH structure (PBE-GGA).

Geometry as POSCAR:
```
La3YH
1.0
5.2474 0.0000 0.0000
0.0000 5.2474 0.0000
0.0000 0.0000 5.2474
La Y H
3 1 1
Cartesian
0.0000 0.0000 2.6237
0.0000 2.6237 0.0000
2.6237 0.0000 0.0000
2.6237 2.6237 2.6237
0.0000 0.0000 0.0000
```

Output
- space-group type = Pm-3m (221)
- ΔE to the lowest computed polymorph (kJ per mole of atoms) = 0.0

***

No. 6
Entry from the Alexandria database: a geometry-optimized Tc2SbBr structure (PBE-GGA).

Geometry as POSCAR:
```
Tc2SbBr
1.0
0.0000 3.3446 3.3446
3.3446 0.0000 3.3446
3.3446 3.3446 0.0000
Tc Sb Br
2 1 1
Cartesian
0.0000 0.0000 0.0000
1.6723 1.6723 1.6723
5.0169 5.0169 5.0169
3.3446 3.3446 3.3446
```

Output
- space-group type = F-43m (216)
- ΔE_f (raw) (kJ per mole of atoms) = 99.6
- ΔE to the lowest computed polymorph (kJ per mole of atoms) = 89.8

***

No. 7
Entry from the Alexandria database: a geometry-optimized Tb3Al2Ag4 structure (PBE-GGA).

Geometry as POSCAR:
```
Tb3Al2Ag4
1.0
5.4095 -2.3244 0.0000
5.4095 2.3244 0.0000
-3.8661 0.0000 7.9280
Tb Al Ag
3 2 4
Cartesian
0.0000 0.0000 0.0000
2.5296 0.0000 2.5332
4.4233 0.0000 5.3948
1.2455 0.0000 5.4914
5.7074 0.0000 2.4366
-0.6789 0.0000 3.2311
-0.5354 0.0000 7.4381
7.4883 0.0000 0.4899
7.6318 0.0000 4.6969
```

Output
- space-group type = C2/m (12)
- energy relative to the elements (eV per atom) = -0.344

***

No. 8
Entry from the Alexandria database: a geometry-optimized TmAl2GaPt4 structure (PBE-GGA).

Geometry as POSCAR:
```
TmAl2GaPt4
1.0
2.1496 1.2411 8.4421
-2.1496 1.2411 8.4421
0.0000 -2.4822 8.4421
Tm Al Ga Pt
1 2 1 4
Cartesian
0.0000 0.0000 0.0000
0.0000 0.0000 6.2387
0.0000 0.0000 19.0876
0.0000 0.0000 12.6631
0.0000 0.0000 3.3687
0.0000 0.0000 10.1356
0.0000 0.0000 15.1907
0.0000 0.0000 21.9576
```

Output
- space-group type = R-3m (166)
- energy relative to the elements (eV per atom) = -0.982

***

No. 9
Entry from the Alexandria database: a geometry-optimized YTlAgSe2 structure (PBE-GGA).

Geometry as POSCAR:
```
YTlAgSe2
1.0
6.7551 0.0000 0.0000
0.0000 5.9633 0.0000
-1.8761 0.0000 7.4631
Y Tl Ag Se
2 2 2 4
Cartesian
-0.4690 0.0943 1.8658
-1.4071 5.8690 5.5973
2.9085 1.8860 1.8658
1.9705 4.0773 5.5973
0.0000 2.9817 0.0000
-0.9381 2.9817 3.7315
0.7035 1.0807 4.2152
1.6416 4.8826 0.4837
3.2375 1.0807 6.9794
4.1755 4.8826 3.2479
```

Output
- space-group type = P2/c (13)
- ΔE_f (raw) (kJ per mole of atoms) = -73.0

***

No. 10
Entry from the Alexandria database: a geometry-optimized CoTc4Mo structure (PBE-GGA).

Geometry as POSCAR:
```
CoTc4Mo
1.0
0.0000 3.5697 3.5697
3.5697 0.0000 3.5697
3.5697 3.5697 0.0000
Co Tc Mo
1 4 1
Cartesian
0.0000 0.0000 0.0000
4.4696 2.6697 2.6697
2.6697 4.4696 2.6697
2.6697 2.6697 4.4696
4.4696 4.4696 4.4696
1.7848 1.7848 1.7848
```

Output
- space-group type = F-43m (216)
- energy relative to the elements (eV per atom) = 0.350

***

No. 11
Entry from the Alexandria database: a geometry-optimized NaCaAgAu structure (PBE-GGA).

Geometry as POSCAR:
```
NaCaAgAu
1.0
3.7102 0.0000 0.0000
0.0000 3.7102 0.0000
0.0000 0.0000 6.8025
Na Ca Ag Au
1 1 1 1
Cartesian
0.0000 0.0000 0.0000
0.0000 0.0000 3.3126
1.8551 1.8551 5.1769
1.8551 1.8551 1.6644
```

Output
- space-group type = P4mm (99)
- energy relative to the elements (eV per atom) = -0.364
- ΔE to the lowest computed polymorph (kJ per mole of atoms) = 0.9

***

No. 12
Entry from the Alexandria database: a geometry-optimized Cs2HS8 structure (PBE-GGA).

Geometry as POSCAR:
```
Cs2HS8
1.0
6.1549 0.0000 0.0000
-1.0213 6.7598 0.0000
-0.7405 -0.7605 9.7602
Cs H S
2 1 8
Cartesian
-0.2360 2.3524 2.6455
4.6292 3.6469 7.1147
0.0000 0.0000 0.0000
-0.7905 0.3504 8.5412
1.2604 0.5334 8.4460
1.7018 3.7997 5.2209
2.6667 2.3229 0.2967
1.7264 3.6763 9.4636
2.6913 2.1996 4.5393
3.1327 5.4659 1.3142
5.1836 5.6489 1.2190
```

Output
- space-group type = P-1 (2)

***

Volume? In order: 68; 182; 185; 254; 144; 75; 199; 135; 301; 91; 94; 406 Å³ per cell.
E? In order: -25.53; -20.62; -42.14; -52.58; -25.41; -22.40; -35.88; -47.01; -44.87; -57.30; -10.90; -41.82 eV/cell.